# 1
Below is crystalline TaRhW at its relaxed geometry, with properties calculated at the GGA-PBE level.

Unit cell a=6.546 b=6.479 c=2.798 alpha=78.94 beta=76.25 gamma=24.81
Fractional coordinates of all 3 atoms:
Ta  0.338  0.338  0.662
Rh  0.003  0.003  0.997
W  0.658  0.658  0.342

Computed properties:
- Spin magnetization: 0.000 μB per formula unit
- Energy relative to the lowest polymorph listed for this composition: 0.02 eV/f.u.
- Energy of formation: -0.48 eV/f.u.

# 2
Below is crystalline Na4NiIr3S8 at its relaxed geometry, with properties calculated at the GGA-PBE level.

Unit cell a=7.288 b=7.540 c=7.286 alpha=118.88 beta=120.01 gamma=90.00
Site moments in Bohr magnetons follow the coordinates.
Fractional coordinates of all 16 atoms:
Na  0.500  0.000  0.000  0.01
Na  0.500  0.000  0.500  0.00
Na  0.000  0.000  0.000  0.00
Na  0.000  0.000  0.500  0.00
Ni  0.000  0.500  0.000  0.58
Ir  0.500  0.500  0.000  -0.01
Ir  0.500  0.500  0.500  -0.01
Ir  0.000  0.500  0.500  -0.01
S  0.228  0.685  0.958  0.03
S  0.227  0.685  0.454  0.03
S  0.271  0.314  0.543  0.00
S  0.730  0.685  0.958  0.03
S  0.270  0.315  0.042  0.03
S  0.729  0.686  0.457  0.00
S  0.773  0.315  0.546  0.03
S  0.772  0.315  0.042  0.03

Computed properties:
- Spin magnetization: 0.879 μB per formula unit
- Energy relative to the elements, uncorrected: -0.6433 eV per atom

# 3
Below is crystalline In2W at its relaxed geometry, with properties calculated at the GGA-PBE level.

Unit cell a=5.377 b=5.377 c=8.554 alpha=65.43 beta=65.43 gamma=35.96
Fractional coordinates of all 6 atoms:
In  0.518  0.518  0.794
In  0.154  0.154  0.393
In  0.846  0.846  0.607
In  0.482  0.482  0.206
W  0.802  0.802  0.070
W  0.198  0.198  0.930

Computed properties:
- Spin magnetization: 0.000 μB per formula unit
- Energy of formation: 1.24 eV/f.u.

# 4
Below is crystalline CaIr2Os at its relaxed geometry, with properties calculated at the GGA-PBE level.

Unit cell a=2.843 b=4.882 c=4.729 alpha=90.00 beta=90.00 gamma=90.00
Site moments in Bohr magnetons follow the coordinates.
Fractional coordinates of all 4 atoms:
Ca  0.000  0.500  0.500  0.00
Ir  0.000  0.000  0.000  0.13
Ir  0.500  0.500  0.000  0.12
Os  0.500  0.000  0.500  0.49

Computed properties:
- Spin magnetization: 0.773 μB per formula unit
- Energy relative to the lowest polymorph listed for this composition: 1.73 eV/f.u.
- Energy of formation: 1.83 eV/f.u.

# 5
Below is crystalline KTi2O at its relaxed geometry, with properties calculated at the GGA-PBE level.

Unit cell a=6.486 b=6.486 c=6.487 alpha=60.01 beta=60.01 gamma=90.00
Site moments in Bohr magnetons follow the coordinates.
Fractional coordinates of all 8 atoms:
K  0.000  0.000  0.000  0.01
K  0.750  0.250  0.500  0.01
O  0.500  0.500  0.000  -0.05
O  0.250  0.750  0.500  -0.05
Ti  0.375  0.125  0.250  1.00
Ti  0.375  0.625  0.250  1.01
Ti  0.375  0.625  0.750  1.01
Ti  0.875  0.625  0.750  1.02

Computed properties:
- Spin magnetization: 2.620 μB per formula unit
- Energy relative to the elements, uncorrected: -0.5832 eV per atom

# 6
Below is crystalline PrGa3 at its relaxed geometry, with properties calculated at the GGA-PBE level.

Unit cell a=4.204 b=4.204 c=6.389 alpha=109.21 beta=109.21 gamma=90.00
Fractional coordinates of all 4 atoms:
Pr  0.000  0.000  0.000
Ga  0.500  0.500  0.000
Ga  0.279  0.279  0.558
Ga  0.721  0.721  0.442

Computed properties:
- Spin magnetization: 0.000 μB per formula unit
- Energy of formation: -0.66 eV/f.u.

# 7
Below is crystalline Nd2Tm2Bi5 at its relaxed geometry, with properties calculated at the GGA-PBE level.

Unit cell a=8.488 b=9.099 c=9.099 alpha=125.72 beta=90.00 gamma=90.00
Fractional coordinates of all 18 atoms:
Nd  0.000  0.806  0.194
Nd  0.500  0.306  0.694
Nd  0.000  0.194  0.806
Nd  0.500  0.694  0.306
Tm  0.343  0.153  0.153
Tm  0.657  0.847  0.847
Tm  0.843  0.347  0.347
Tm  0.157  0.653  0.653
Bi  0.000  0.000  0.000
Bi  0.500  0.500  0.500
Bi  0.150  0.213  0.484
Bi  0.850  0.516  0.787
Bi  0.650  0.016  0.287
Bi  0.350  0.713  0.984
Bi  0.850  0.787  0.516
Bi  0.150  0.484  0.213
Bi  0.350  0.984  0.713
Bi  0.650  0.287  0.016

Computed properties:
- Spin magnetization: 0.000 μB per formula unit
- Energy of formation: -5.75 eV/f.u.

# 8
Below is crystalline TiGa at its relaxed geometry, with properties calculated at the GGA-PBE level.

Unit cell a=7.145 b=7.145 c=7.145 alpha=90.00 beta=90.00 gamma=90.00
Fractional coordinates of all 12 atoms:
Ti  0.250  0.500  0.000
Ti  0.750  0.500  0.000
Ti  0.500  0.000  0.250
Ti  0.500  0.000  0.750
Ti  0.000  0.250  0.500
Ti  0.000  0.750  0.500
Ga  0.250  0.000  0.500
Ga  0.750  0.000  0.500
Ga  0.000  0.500  0.250
Ga  0.000  0.500  0.750
Ga  0.500  0.250  0.000
Ga  0.500  0.750  0.000

Computed properties:
- Spin magnetization: 0.000 μB per formula unit
- Energy of formation: 2.00 eV/f.u.

# 9
Below is crystalline HfZrCo at its relaxed geometry, with properties calculated at the GGA-PBE level.

Unit cell a=3.343 b=5.241 c=6.781 alpha=102.19 beta=104.27 gamma=90.00
Fractional coordinates of all 6 atoms:
Hf  0.849  0.664  0.698
Hf  0.151  0.336  0.302
Zr  0.569  0.781  0.138
Zr  0.431  0.219  0.862
Co  0.228  0.840  0.456
Co  0.772  0.160  0.544

Computed properties:
- Spin magnetization: 0.000 μB per formula unit
- Energy relative to the lowest polymorph listed for this composition: 0.14 eV/f.u.
- Energy of formation: -0.66 eV/f.u.

# 10
Below is crystalline CeNdYMg at its relaxed geometry, with properties calculated at the GGA-PBE level.

Unit cell a=5.560 b=5.560 c=5.560 alpha=60.00 beta=60.00 gamma=60.00
Site moments in Bohr magnetons follow the coordinates.
Fractional coordinates of all 4 atoms:
Y  0.750  0.750  0.750  0.05
Mg  0.000  0.000  0.000  0.00
Nd  0.250  0.250  0.250  0.07
Ce  0.500  0.500  0.500  0.73

Computed properties:
- Spin magnetization: 1.098 μB per formula unit
- Energy of formation: 0.57 eV/f.u.

# 11
Below is crystalline Cs2Sn2Pb at its relaxed geometry, with properties calculated at the GGA-PBE level.

Unit cell a=5.207 b=5.207 c=8.881 alpha=72.95 beta=72.95 gamma=90.00
Fractional coordinates of all 5 atoms:
Pb  0.000  0.000  0.000
Cs  0.750  0.250  0.500
Cs  0.250  0.750  0.500
Sn  0.418  0.418  0.164
Sn  0.582  0.582  0.836

Computed properties:
- Spin magnetization: 0.000 μB per formula unit
- Energy relative to the lowest polymorph listed for this composition: 1.21 eV/f.u.
- Energy of formation: 0.60 eV/f.u.

# 12
Below is crystalline PRuWN2 at its relaxed geometry, with properties calculated at the GGA-PBE level.

Unit cell a=3.737 b=5.153 c=3.737 alpha=90.00 beta=90.00 gamma=90.00
Site moments in Bohr magnetons follow the coordinates.
Fractional coordinates of all 5 atoms:
Ru  0.000  0.000  0.000  0.21
N  0.000  0.000  0.500  -0.16
N  0.500  0.000  0.000  -0.13
W  0.500  0.500  0.500  2.05
P  0.000  0.500  0.000  -0.07

Computed properties:
- Spin magnetization: 2.308 μB per formula unit
- Energy relative to the elements, uncorrected: 1.3441 eV per atom

# 13
Below is crystalline Zr2SiHF at its relaxed geometry, with properties calculated at the GGA-PBE level.

Unit cell a=4.369 b=3.760 c=4.369 alpha=90.00 beta=90.00 gamma=90.00
Fractional coordinates of all 5 atoms:
H  0.000  0.000  0.000
Si  0.500  0.500  0.500
Zr  0.000  0.000  0.500
Zr  0.500  0.000  0.000
F  0.000  0.500  0.000

Computed properties:
- Spin magnetization: 0.000 μB per formula unit
- Energy relative to the lowest polymorph listed for this composition: 0.00 eV/f.u.

# 14
Below is crystalline Mg2Pd2Ru at its relaxed geometry, with properties calculated at the GGA-PBE level.

Unit cell a=7.389 b=7.389 c=2.991 alpha=90.00 beta=90.00 gamma=90.00
Site moments in Bohr magnetons follow the coordinates.
Fractional coordinates of all 10 atoms:
Ru  0.000  0.000  0.000  1.46
Ru  0.500  0.500  0.000  1.46
Mg  0.166  0.666  0.500  -0.01
Mg  0.666  0.834  0.500  -0.01
Mg  0.834  0.334  0.500  -0.01
Mg  0.334  0.166  0.500  -0.01
Pd  0.366  0.866  0.000  0.08
Pd  0.866  0.634  0.000  0.07
Pd  0.634  0.134  0.000  0.08
Pd  0.134  0.366  0.000  0.07

Computed properties:
- Spin magnetization: 1.641 μB per formula unit
- Energy of formation: -0.68 eV/f.u.

# 15
Below is crystalline NpCo2 at its relaxed geometry, with properties calculated at the GGA-PBE level.

Unit cell a=4.913 b=4.913 c=4.913 alpha=60.00 beta=60.00 gamma=60.00
Site moments in Bohr magnetons follow the coordinates.
Fractional coordinates of all 6 atoms:
Np  0.750  0.750  0.750  3.23
Np  0.500  0.500  0.500  3.23
Co  0.125  0.125  0.625  -0.57
Co  0.125  0.125  0.125  -0.57
Co  0.625  0.125  0.125  -0.57
Co  0.125  0.625  0.125  -0.57

Computed properties:
- Spin magnetization: 2.232 μB per formula unit
- Energy of formation: -0.23 eV/f.u.

# 16
Below is crystalline SrYSe4 at its relaxed geometry, with properties calculated at the GGA-PBE level.

Unit cell a=5.996 b=5.996 c=5.996 alpha=60.00 beta=60.00 gamma=60.00
Fractional coordinates of all 6 atoms:
Sr  0.750  0.750  0.750
Y  0.000  0.000  0.000
Se  0.877  0.374  0.374
Se  0.374  0.374  0.877
Se  0.374  0.877  0.374
Se  0.374  0.374  0.374

Computed properties:
- Spin magnetization: 0.004 μB per formula unit
- Energy relative to the elements, uncorrected: -0.3004 eV per atom

# 17
Below is crystalline AlSiPb at its relaxed geometry, with properties calculated at the GGA-PBE level.

Unit cell a=3.526 b=3.711 c=10.686 alpha=97.13 beta=96.13 gamma=103.41
Fractional coordinates of all 6 atoms:
Pb  0.170  0.689  0.871
Pb  0.830  0.311  0.129
Si  0.173  0.292  0.450
Si  0.827  0.708  0.550
Al  0.497  0.828  0.323
Al  0.503  0.172  0.677

Computed properties:
- Spin magnetization: 0.000 μB per formula unit
- Energy relative to the lowest polymorph listed for this composition: 0.10 eV/f.u.
- Energy relative to the elements, uncorrected: 0.2182 eV per atom

# 18
Below is crystalline CaNdMg at its relaxed geometry, with properties calculated at the GGA-PBE level.

Unit cell a=3.783 b=3.783 c=7.396 alpha=104.82 beta=104.82 gamma=90.00
Fractional coordinates of all 3 atoms:
Ca  0.016  0.016  0.032
Nd  0.315  0.315  0.631
Mg  0.669  0.669  0.338

Computed properties:
- Spin magnetization: 0.000 μB per formula unit
- Energy relative to the lowest polymorph listed for this composition: 0.10 eV/f.u.
- Energy of formation: -0.05 eV/f.u.

# 19
Below is crystalline PmZnCdGa at its relaxed geometry, with properties calculated at the GGA-PBE level.

Unit cell a=4.946 b=4.946 c=4.946 alpha=60.00 beta=60.00 gamma=60.00
Fractional coordinates of all 4 atoms:
Zn  0.500  0.500  0.500
Cd  0.750  0.750  0.750
Ga  0.000  0.000  0.000
Pm  0.250  0.250  0.250

Computed properties:
- Spin magnetization: 0.000 μB per formula unit
- Energy of formation: -1.35 eV/f.u.

# 20
Below is crystalline TbEr3Pu2S6 at its relaxed geometry, with properties calculated at the GGA-PBE level.

Unit cell a=6.745 b=6.745 c=6.794 alpha=99.51 beta=99.51 gamma=120.03
Site moments in Bohr magnetons follow the coordinates.
Fractional coordinates of all 12 atoms:
Tb  0.000  0.000  0.000  0.08
Er  0.167  0.833  0.500  0.02
Er  0.833  0.167  0.500  0.02
Er  0.500  0.500  0.500  0.02
Pu  0.333  0.667  0.000  5.36
Pu  0.667  0.333  0.000  5.36
S  0.914  0.581  0.743  -0.03
S  0.753  0.753  0.258  -0.03
S  0.086  0.419  0.257  -0.03
S  0.581  0.914  0.743  -0.03
S  0.247  0.247  0.742  -0.03
S  0.419  0.086  0.257  -0.03

Computed properties:
- Spin magnetization: 11.528 μB per formula unit
- Energy relative to the elements, uncorrected: -1.9311 eV per atom

# 21
Below is crystalline SrCoCl at its relaxed geometry, with properties calculated at the GGA-PBE level.

Unit cell a=4.021 b=4.022 c=11.950 alpha=79.14 beta=99.42 gamma=119.99
Site moments in Bohr magnetons follow the coordinates.
Fractional coordinates of all 6 atoms:
Sr  0.706  0.418  0.819  -0.05
Sr  0.595  0.590  0.416  -0.05
Co  0.984  0.171  0.618  1.28
Co  0.317  0.838  0.618  1.31
Cl  0.223  0.983  0.275  -0.01
Cl  0.411  0.692  0.960  -0.01

Computed properties:
- Spin magnetization: 1.014 μB per formula unit
- Energy relative to the elements, uncorrected: -0.9860 eV per atom

# 22
Below is crystalline CrCd2Au6 at its relaxed geometry, with properties calculated at the GGA-PBE level.

Unit cell a=5.047 b=8.369 c=8.369 alpha=73.50 beta=81.96 gamma=81.96
Site moments in Bohr magnetons follow the coordinates.
Fractional coordinates of all 18 atoms:
Cr  0.250  0.125  0.875  3.57
Cr  0.750  0.875  0.125  3.57
Cd  0.423  0.544  0.791  0.00
Cd  0.077  0.209  0.456  0.00
Cd  0.577  0.456  0.209  0.00
Cd  0.923  0.791  0.544  0.00
Au  0.477  0.687  0.425  0.03
Au  0.023  0.575  0.313  0.03
Au  0.523  0.313  0.575  0.03
Au  0.977  0.425  0.687  0.03
Au  0.637  0.088  0.345  0.01
Au  0.863  0.655  0.912  0.01
Au  0.363  0.912  0.655  0.01
Au  0.137  0.345  0.088  0.01
Au  0.306  0.776  0.011  0.04
Au  0.194  0.989  0.224  0.04
Au  0.694  0.224  0.989  0.04
Au  0.806  0.011  0.776  0.04

Computed properties:
- Spin magnetization: 4.056 μB per formula unit
- Energy of formation: -0.39 eV/f.u.

# 23
Below is crystalline DyHo2Ti at its relaxed geometry, with properties calculated at the GGA-PBE level.

Unit cell a=3.407 b=3.407 c=11.025 alpha=81.09 beta=81.09 gamma=60.00
Fractional coordinates of all 4 atoms:
Dy  0.500  0.500  0.500
Ho  0.076  0.076  0.773
Ho  0.258  0.258  0.227
Ti  0.666  0.666  0.001

Computed properties:
- Spin magnetization: 0.001 μB per formula unit
- Energy relative to the lowest polymorph listed for this composition: 0.12 eV/f.u.
- Energy of formation: 0.76 eV/f.u.

# 24
Below is crystalline Np2Zn5O12 at its relaxed geometry, with properties calculated at the GGA-PBE level.

Unit cell a=6.057 b=5.983 c=8.921 alpha=111.33 beta=90.00 gamma=120.41
Site moments in Bohr magnetons follow the coordinates.
Fractional coordinates of all 19 atoms:
Np  0.735  0.000  0.000  0.56
Np  0.265  0.000  0.000  0.56
Zn  0.303  0.605  0.581  0.01
Zn  0.349  0.697  0.293  0.00
Zn  0.000  0.000  0.500  0.03
Zn  0.651  0.303  0.707  0.00
Zn  0.697  0.395  0.419  0.01
O  0.989  0.978  0.138  -0.04
O  0.050  0.609  0.884  -0.02
O  0.559  0.609  0.884  -0.02
O  0.098  0.707  0.449  0.12
O  0.609  0.707  0.449  0.12
O  0.500  0.000  0.796  -0.02
O  0.500  0.000  0.204  -0.02
O  0.902  0.293  0.551  0.12
O  0.391  0.293  0.551  0.12
O  0.950  0.391  0.116  -0.02
O  0.441  0.391  0.116  -0.02
O  0.011  0.022  0.862  -0.04

Computed properties:
- Spin magnetization: 1.528 μB per formula unit
- Energy relative to the elements, uncorrected: -1.6319 eV per atom

# 25
Below is crystalline KAg3Hg at its relaxed geometry, with properties calculated at the GGA-PBE level.

Unit cell a=5.899 b=5.899 c=5.899 alpha=90.00 beta=90.00 gamma=90.00
Fractional coordinates of all 5 atoms:
K  0.000  0.000  0.000
Hg  0.500  0.500  0.500
Ag  0.000  0.500  0.000
Ag  0.000  0.000  0.500
Ag  0.500  0.000  0.000

Computed properties:
- Spin magnetization: 0.000 μB per formula unit
- Energy relative to the lowest polymorph listed for this composition: 4.92 eV/f.u.
- Energy of formation: 4.98 eV/f.u.